[1]
Here is a geometry-optimized CaSm2Pa structure from Alexandria via LeMat-Bulk. Energies are from PBE.

The structure in extended XYZ format:
```
4
Lattice="-1.886 -2.668 1.214 2.580 -2.196 -0.818 4.277 1.402 9.725" Properties=species:S:1:pos:R:3 pbc="T T T"
Sm 3.338 1.094 7.590
Sm 0.939 0.308 2.135
Ca 2.485 -1.731 5.060
Pa 0.347 -2.432 0.198
```

Values from the calculation:
- Relative energy among the computed polymorphs: 0.0000 eV per atom
- Spin magnetization: 0.00 μB/cell



[2]
Here is a geometry-optimized CaSm2Pa structure from Alexandria via LeMat-Bulk. Energies are from PBE.

The structure in extended XYZ format:
```
4
Lattice="3.376 0.000 0.000 1.688 2.923 0.000 1.688 0.974 12.825" Properties=species:S:1:pos:R:3 pbc="T T T"
Sm 5.063 2.923 3.205
Sm 1.688 0.974 9.620
Pa 0.000 0.000 0.000
Ca 3.376 1.949 6.412
```

Values from the calculation:
- Relative energy among the computed polymorphs: 0.2429 eV per atom
- Spin magnetization: 0.00 μB/cell



[3]
Here is a geometry-optimized Ca2SmPa structure from Alexandria via LeMat-Bulk. Energies are from PBE.

The structure in extended XYZ format:
```
4
Lattice="-1.456 -0.457 -3.016 -3.270 -0.834 -0.189 -4.790 12.254 -1.441" Properties=species:S:1:pos:R:3 pbc="T T T"
Pa 0.000 0.000 0.000
Ca -3.967 9.007 -1.345
Ca -5.549 1.955 -3.301
Sm -4.758 5.481 -2.323
```

Values from the calculation:
- Calculated total energy: -4.1232 eV per atom
- Spin magnetization: 0.00 μB/cell



[4]
Here is a geometry-optimized Ca2PaSn9 structure from Alexandria via LeMat-Bulk. Energies are from PBE.

The structure in extended XYZ format:
```
12
Lattice="4.708 0.000 0.000 0.000 4.708 0.000 0.000 0.000 14.246" Properties=species:S:1:pos:R:3 pbc="T T T"
Pa 0.000 0.000 0.000
Sn 2.354 0.000 7.123
Sn 0.000 2.354 11.925
Sn 2.354 2.354 4.743
Sn 2.354 2.354 9.504
Sn 2.354 0.000 2.321
Sn 0.000 2.354 2.321
Sn 2.354 2.354 0.000
Sn 0.000 2.354 7.123
Sn 2.354 0.000 11.925
Ca 0.000 0.000 9.598
Ca 0.000 0.000 4.648
```

Values from the calculation:
- Calculated total energy: -4.4726 eV per atom
- Spin magnetization: 0.00 μB/cell



[5]
Here is a geometry-optimized CaPaSn2 structure from Alexandria via LeMat-Bulk. Energies are from PBE.

The structure in extended XYZ format:
```
4
Lattice="3.383 0.000 0.000 0.000 3.383 0.000 0.000 0.000 9.238" Properties=species:S:1:pos:R:3 pbc="T T T"
Sn 0.000 0.000 2.284
Sn 0.000 0.000 6.953
Ca 1.691 1.691 4.619
Pa 1.691 1.691 0.000
```

Values from the calculation:
- Calculated total energy: -5.2561 eV per atom
- Spin magnetization: 0.36 μB/cell



[6]
Here is a geometry-optimized CaPaSn structure from Alexandria via LeMat-Bulk. Energies are from PBE.

The structure in extended XYZ format:
```
3
Lattice="3.399 0.000 0.000 0.000 5.380 0.000 0.000 -2.690 4.659" Properties=species:S:1:pos:R:3 pbc="T T T"
Ca 2.458 0.000 3.106
Pa 0.955 2.690 1.553
Sn 3.385 0.000 0.000
```

Values from the calculation:
- Relative energy among the computed polymorphs: 0.3391 eV per atom
- Spin magnetization: 2.40 μB/cell



[7]
Here is a geometry-optimized CaPaSn2 structure from Alexandria via LeMat-Bulk. Energies are from PBE.

The structure in extended XYZ format:
```
4
Lattice="-0.171 -1.305 -3.003 -0.698 -5.189 2.294 -5.666 0.759 -0.008" Properties=species:S:1:pos:R:3 pbc="T T T"
Pa -0.085 -0.652 -1.502
Sn -0.349 -2.595 1.147
Sn -2.833 0.379 -0.004
Ca -3.267 -2.867 -0.358
```

Values from the calculation:
- Calculated total energy: -5.2400 eV per atom
- Spin magnetization: 0.45 μB/cell



[8]
Here is a geometry-optimized CaPa2Sn9 structure from Alexandria via LeMat-Bulk. Energies are from PBE.

The structure in extended XYZ format:
```
12
Lattice="-1.645 -1.863 3.952 1.391 -4.226 -1.413 12.549 2.059 6.194" Properties=species:S:1:pos:R:3 pbc="T T T"
Pa 4.263 0.699 2.104
Pa 8.286 1.359 4.090
Sn 9.577 0.775 7.109
Sn 11.095 -0.407 4.426
Sn 1.327 -0.579 3.037
Sn 5.452 0.098 5.073
Sn -0.127 -3.044 1.269
Sn 4.081 -2.354 3.346
Sn 8.214 -1.676 5.386
Sn 6.970 -1.084 2.390
Sn 2.845 -1.761 0.355
Ca 0.000 0.000 0.000
```

Values from the calculation:
- Calculated total energy: -5.0675 eV per atom
- Spin magnetization: 0.00 μB/cell



[9]
Here is a geometry-optimized CaPaSn structure from Alexandria via LeMat-Bulk. Energies are from PBE.

The structure in extended XYZ format:
```
6
Lattice="-1.350 2.415 2.637 -0.221 -2.870 2.515 12.625 2.668 1.250" Properties=species:S:1:pos:R:3 pbc="T T T"
Pa 6.480 1.336 2.094
Pa 4.573 0.878 4.308
Ca 10.065 2.075 3.253
Ca 0.989 0.139 3.150
Sn 3.543 0.731 1.145
Sn 7.510 1.484 5.257
```

Values from the calculation:
- Relative energy among the computed polymorphs: 0.0000 eV per atom
- Spin magnetization: 0.00 μB/cell



[10]
Here is a geometry-optimized CaPaTlSn structure from Alexandria via LeMat-Bulk. Energies are from PBE.

The structure in extended XYZ format:
```
4
Lattice="5.397 0.000 0.000 2.698 4.674 0.000 2.698 1.558 4.406" Properties=species:S:1:pos:R:3 pbc="T T T"
Pa 5.397 3.116 2.203
Tl 8.095 4.674 3.305
Ca 0.000 0.000 0.000
Sn 2.698 1.558 1.102
```

Values from the calculation:
- Calculated total energy: -4.5519 eV per atom
- Spin magnetization: 1.06 μB/cell



[11]
Here is a geometry-optimized SrCa2Pa structure from Alexandria via LeMat-Bulk. Energies are from PBE.

The structure in extended XYZ format:
```
4
Lattice="-2.726 -1.857 1.194 -0.544 -3.264 -1.164 6.598 -6.558 10.021" Properties=species:S:1:pos:R:3 pbc="T T T"
Sr 1.664 -5.839 5.025
Ca -1.356 -6.329 2.523
Ca 4.683 -5.350 7.528
Pa 0.000 0.000 0.000
```

Values from the calculation:
- Calculated total energy: -3.2351 eV per atom
- Spin magnetization: 0.00 μB/cell



[12]
Here is a geometry-optimized CaTbPa structure from Alexandria via LeMat-Bulk. Energies are from PBE.

The structure in extended XYZ format:
```
6
Lattice="3.403 -0.846 0.208 0.863 3.368 -0.502 2.188 -1.835 15.978" Properties=species:S:1:pos:R:3 pbc="T T T"
Tb 4.053 0.614 14.540
Tb 2.932 1.712 7.679
Pa 1.971 -0.995 12.437
Pa 4.151 -0.047 10.283
Ca 3.070 0.789 1.786
Ca 0.866 0.005 4.959
```

Values from the calculation:
- Calculated total energy: -5.2636 eV per atom
- Spin magnetization: 0.00 μB/cell